Here is a relaxed TaV5Si2 crystal from Alexandria via LeMat-Bulk. Energies are from PBE-GGA.

Properties
- formation energy (no corrections) (eV/atom) = -0.2927
- magnetic moment (μB/cell) = 0.0

Unit cell a=3.2008 b=7.6709 c=9.2941 alpha=90.00 beta=90.00 gamma=90.00
Space group Immm (No. 71)
Asymmetric unit:
Ta 0.0000 0.0000 0.0000 x2
V 0.0000 0.1914 0.3504 x8
V 0.0000 0.5000 0.0000 x2
Si 0.0000 0.5000 0.2739 x4

Here is a relaxed LiGa3Te4 crystal from Alexandria via LeMat-Bulk. Energies are from PBE-GGA.

Properties
- formation energy (no corrections) (eV/atom) = -0.3494
- magnetic moment (μB/cell) = 0.0

Unit cell a=6.8125 b=6.8125 c=11.5239 alpha=90.00 beta=90.00 gamma=90.00
Space group I-42m (No. 121)
Asymmetric unit:
Li 0.0000 0.0000 0.0000 x2
Ga 0.0000 0.0000 0.5000 x2
Ga 0.0000 0.5000 0.2500 x4
Te 0.2344 0.2344 0.3738 x8